*P*
{"formula": "RbNa3Se", "functional": "PBE", "state": "optimized geometry", "vol_a3_per_fu": 237.0, "cell": [[-1.814, 1.136, -5.807], [-5.880, -1.018, 1.638], [-0.654, 5.998, 1.378]], "species": ["Na", "Na", "Na", "Se", "Rb"], "fractional_positions": [[0.000, 0.500, 0.000], [0.000, 0.000, 0.500], [0.500, 0.000, 0.000], [0.500, 0.500, 0.500], [0.000, 0.000, 0.000]]}

*Q*
{"formula": "RbNa3Se", "functional": "PBE", "state": "optimized geometry", "vol_a3_per_fu": 202.9, "cell": [[-1.648, 3.690, -4.266], [-4.405, -3.618, -1.428], [-3.523, 2.797, 3.781]], "species": ["Na", "Na", "Na", "Se", "Rb"], "fractional_positions": [[0.000, 0.500, 0.000], [0.000, 0.000, 0.500], [0.500, 0.000, 0.000], [0.000, 0.000, 0.000], [0.500, 0.500, 0.500]]}

Which structure is the least stable? The one labeled *P*.